[1]
DFT (PBE-GGA) results for a relaxed structure of Mg4Sn8Pd3.

Summary:
Energy of formation ... -0.294 eV per atom
Space-group type ... P-4m2
V ... 344.6 Å³/cell

abc: 4.4775 4.4775 17.1881
angles: 90.00 90.00 90.00
Atoms (fractional coordinates):
Mg 0.0000 0.5000 0.0942
Mg 0.0000 0.5000 0.6012
Mg 0.5000 0.0000 0.3988
Mg 0.5000 0.0000 0.9058
Sn 0.0000 0.0000 0.2604
Sn 0.0000 0.0000 0.7396
Sn 0.0000 0.5000 0.4028
Sn 0.0000 0.5000 0.9090
Sn 0.5000 0.0000 0.0910
Sn 0.5000 0.0000 0.5972
Sn 0.5000 0.5000 0.2277
Sn 0.5000 0.5000 0.7723
Pd 0.0000 0.0000 0.0000
Pd 0.0000 0.0000 0.5000
Pd 0.5000 0.5000 0.5000

***

[2]
DFT (PBE-GGA) results for a relaxed structure of MgSn2Pd4.

Summary:
Energy of formation ... -0.533 eV per atom
Space-group type ... R-3m
V ... 128.8 Å³/cell
Energy relative to the lowest polymorph listed for this composition ... 0.0 kJ per mole of atoms

abc: 7.7553 7.7553 7.7553
angles: 33.83 33.83 33.83
Atoms (fractional coordinates):
Mg 0.0000 0.0000 0.0000
Sn 0.2471 0.2471 0.2471
Sn 0.7529 0.7529 0.7529
Pd 0.1240 0.1240 0.1240
Pd 0.3766 0.3766 0.3766
Pd 0.6234 0.6234 0.6234
Pd 0.8760 0.8760 0.8760

***

[3]
DFT (PBE-GGA) results for a relaxed structure of Mg3SnPd.

Summary:
Energy of formation ... -0.376 eV per atom
Space-group type ... Pmma
V ... 211.4 Å³/cell
Energy relative to the lowest polymorph listed for this composition ... 0.0 kJ per mole of atoms

abc: 8.8743 3.0720 7.7544
angles: 90.00 90.00 90.00
Atoms (fractional coordinates):
Mg 0.0498 0.0000 0.2137
Mg 0.2500 0.0000 0.5650
Mg 0.4502 0.0000 0.2137
Mg 0.5498 0.0000 0.7863
Mg 0.7500 0.0000 0.4350
Mg 0.9502 0.0000 0.7863
Sn 0.2500 0.5000 0.9442
Sn 0.7500 0.5000 0.0558
Pd 0.0000 0.5000 0.5000
Pd 0.5000 0.5000 0.5000